1.
Computed, not measured: a geometry-optimized AcCdSb structure at the PBE level of DFT.

The space group is P3m1 (No. 156) and the conventional cell measures 4.8611, 4.8611 and 4.7086 Å, with angles of 90.00, 90.00 and 120.00 degrees. The distinct sites, in fractional coordinates, are Ac at (0.0000, 0.0000, 0.0000), Cd at (0.3333, 0.6667, 0.6324) and Sb at (0.6667, 0.3333, 0.4344).

Its size of the total moment is 0.00 μB per formula unit. The volume comes out at 32.120 Å³ per atom. The calculation puts the relative energy among the computed polymorphs at 0.000 eV/atom.

2.
Computed, not measured: a geometry-optimized AcCdSb2 structure at the PBE level of DFT.

The space group is R-3m (No. 166, hexagonal axes) and the conventional cell measures 5.1675, 5.1675 and 16.0239 Å, with angles of 90.00, 90.00 and 120.00 degrees. The distinct sites, in fractional coordinates, are Ac at (0.0000, 0.0000, 0.0000), Cd at (0.0000, 0.0000, 0.5000) and Sb at (0.0000, 0.0000, 0.2235).

Its size of the total moment is 0.00 μB per formula unit. The volume comes out at 30.880 Å³ per atom. The calculation puts the relative energy among the computed polymorphs at 0.168 eV/atom.

3.
Computed, not measured: a geometry-optimized AcCdSbSe structure at the PBE level of DFT.

The space group is P4/nmm (No. 129, origin choice 2) and the conventional cell measures 4.9438, 4.9438 and 9.9684 Å, with angles of 90.00, 90.00 and 90.00 degrees. The distinct sites, in fractional coordinates, are Ac at (0.2500, 0.2500, 0.1740), Cd at (0.2500, 0.7500, 0.5000), Sb at (0.2500, 0.2500, 0.6777) and Se at (0.2500, 0.7500, 0.0000).

Its size of the total moment is 0.00 μB per formula unit. The total energy comes out at -4.134 eV/atom. The volume comes out at 30.455 Å³ per atom.

4.
Computed, not measured: a geometry-optimized AcCdSnSb3 structure at the PBE level of DFT.

The space group is P2_1/m (No. 11) and the conventional cell measures 7.8647, 4.5894 and 10.4265 Å, with angles of 90.00, 97.34 and 90.00 degrees. The distinct sites, in fractional coordinates, are Ac at (0.0286, 0.2500, 0.2256), Cd at (0.3943, 0.7500, 0.0778), Sn at (0.3989, 0.7500, 0.6493), Sb at (0.1116, 0.2500, 0.5504), Sb at (0.2327, 0.2500, 0.9453) and Sb at (0.3540, 0.7500, 0.3563).

Its size of the total moment is 0.00 μB per formula unit. The total energy comes out at -3.949 eV/atom. The volume comes out at 31.104 Å³ per atom.

5.
Computed, not measured: a geometry-optimized SrAcCdSb structure at the PBE level of DFT.

The space group is F-43m (No. 216) and the conventional cell measures 8.1206, 8.1206 and 8.1206 Å, with angles of 90.00, 90.00 and 90.00 degrees. The distinct sites, in fractional coordinates, are Sr at (0.0000, 0.0000, 0.0000), Ac at (0.0000, 0.0000, 0.5000), Cd at (0.2500, 0.2500, 0.7500) and Sb at (0.2500, 0.2500, 0.2500).

Its size of the total moment is 0.00 μB per formula unit. The total energy comes out at -3.276 eV/atom. The volume comes out at 33.469 Å³ per atom.

6.
Computed, not measured: a geometry-optimized AcTbCdSb structure at the PBE level of DFT.

The space group is F-43m (No. 216) and the conventional cell measures 7.8643, 7.8643 and 7.8643 Å, with angles of 90.00, 90.00 and 90.00 degrees. The distinct sites, in fractional coordinates, are Ac at (0.0000, 0.0000, 0.0000), Tb at (0.0000, 0.0000, 0.5000), Cd at (0.2500, 0.2500, 0.7500) and Sb at (0.2500, 0.2500, 0.2500).

Its size of the total moment is 0.00 μB per formula unit. The total energy comes out at -3.957 eV/atom. The volume comes out at 30.399 Å³ per atom.

7.
Computed, not measured: a geometry-optimized AcCdSbTe structure at the PBE level of DFT.

The space group is P4/nmm (No. 129, origin choice 2) and the conventional cell measures 5.0427, 5.0427 and 10.0137 Å, with angles of 90.00, 90.00 and 90.00 degrees. The distinct sites, in fractional coordinates, are Ac at (0.2500, 0.2500, 0.2125), Cd at (0.2500, 0.7500, 0.5000), Sb at (0.2500, 0.2500, 0.6711) and Te at (0.2500, 0.7500, 0.0000).

Its size of the total moment is 0.00 μB per formula unit. The total energy comes out at -3.793 eV/atom. The volume comes out at 31.830 Å³ per atom.

8.
Computed, not measured: a geometry-optimized AcTl2CdSb2 structure at the PBE level of DFT.

The space group is Pmc2_1 (No. 26) and the conventional cell measures 4.7411, 10.3749 and 7.9916 Å, with angles of 90.00, 90.00 and 90.00 degrees. The distinct sites, in fractional coordinates, are Ac at (0.0000, 0.0916, 0.0000), Tl at (0.0000, 0.3383, 0.3235), Tl at (0.5000, 0.4530, 0.0262), Cd at (0.5000, 0.1833, 0.6522), Sb at (0.0000, 0.3377, 0.7288) and Sb at (0.5000, 0.0832, 0.2997).

Its size of the total moment is 0.00 μB per formula unit. The total energy comes out at -3.384 eV/atom. The volume comes out at 32.758 Å³ per atom.

9.
Computed, not measured: a geometry-optimized AcTlCdSb structure at the PBE level of DFT.

The space group is F-43m (No. 216) and the conventional cell measures 7.9603, 7.9603 and 7.9603 Å, with angles of 90.00, 90.00 and 90.00 degrees. The distinct sites, in fractional coordinates, are Ac at (0.0000, 0.0000, 0.0000), Tl at (0.0000, 0.0000, 0.5000), Cd at (0.2500, 0.2500, 0.2500) and Sb at (0.2500, 0.2500, 0.7500).

Its size of the total moment is 0.00 μB per formula unit. The total energy comes out at -3.237 eV/atom. The volume comes out at 31.526 Å³ per atom.

10.
Computed, not measured: a geometry-optimized Ac5ScCd4 structure at the PBE level of DFT.

The space group is P4/mmm (No. 123) and the conventional cell measures 4.0630, 4.0630 and 20.6453 Å, with angles of 90.00, 90.00 and 90.00 degrees. The distinct sites, in fractional coordinates, are Ac at (0.0000, 0.0000, 0.0000), Ac at (0.0000, 0.0000, 0.1984), Ac at (0.0000, 0.0000, 0.3971), Sc at (0.5000, 0.5000, 0.5000), Cd at (0.5000, 0.5000, 0.0982) and Cd at (0.5000, 0.5000, 0.3010).

Its energy relative to the elements is -203 meV per atom. Its size of the total moment is 0.02 μB per formula unit. The volume comes out at 34.081 Å³ per atom.

11.
Computed, not measured: a geometry-optimized AcScCd2 structure at the PBE level of DFT.

The space group is Fm-3m (No. 225) and the conventional cell measures 7.6961, 7.6961 and 7.6961 Å, with angles of 90.00, 90.00 and 90.00 degrees. The distinct sites, in fractional coordinates, are Ac at (0.0000, 0.0000, 0.0000), Sc at (0.0000, 0.0000, 0.5000) and Cd at (0.2500, 0.2500, 0.2500).

Its energy relative to the elements is -194 meV per atom. Its size of the total moment is 0.56 μB per formula unit. The volume comes out at 28.490 Å³ per atom. The calculation puts the relative energy among the computed polymorphs at 0.055 eV/atom.

12.
Computed, not measured: a geometry-optimized AcSc2Cd structure at the PBE level of DFT.

The space group is Fm-3m (No. 225) and the conventional cell measures 7.6052, 7.6052 and 7.6052 Å, with angles of 90.00, 90.00 and 90.00 degrees. The distinct sites, in fractional coordinates, are Ac at (0.0000, 0.0000, 0.0000), Sc at (0.2500, 0.2500, 0.2500) and Cd at (0.0000, 0.0000, 0.5000).

Its energy relative to the elements is 125 meV per atom. Its size of the total moment is 1.70 μB per formula unit. The volume comes out at 27.492 Å³ per atom. The calculation puts the relative energy among the computed polymorphs at 0.179 eV/atom.